No. 1
# Ba2Cd2Pb

A geometry-optimized Ba2Cd2Pb structure (GGA-PBE, Alexandria via LeMat-Bulk).

Polymorph energy (0 for the lowest one), meV per atom: 213
Calculated total energy, eV per cell: -20.65
Fermi-level density of states, states/eV per cell: 8.81

The structure in CIF format:
```
data_Ba2Cd2Pb
_symmetry_space_group_name_H-M 'I 4/m m m'
_symmetry_Int_Tables_number 139
_symmetry_space_group_name_Hall '-I 4 2'
_cell_length_a 6.747
_cell_length_b 6.747
_cell_length_c 8.987
_cell_angle_alpha 90.00
_cell_angle_beta 90.00
_cell_angle_gamma 90.00
loop_
_atom_site_label
_atom_site_fract_x
_atom_site_fract_y
_atom_site_fract_z
Ba1 0.000 0.500 0.250
Cd1 0.000 0.000 0.153
Pb1 0.000 0.000 0.500
```

***

No. 2
# AcTmAsO2

A geometry-optimized AcTmAsO2 structure (GGA-PBE, Alexandria via LeMat-Bulk).

E_form (uncorrected), eV/f.u.: -12.4
Calculated total energy, eV per cell: -141.99
Fermi-level density of states, states/eV per cell: 14.82

The structure in CIF format:
```
data_AcTmAsO2
_symmetry_space_group_name_H-M 'C m c m'
_symmetry_Int_Tables_number 63
_symmetry_space_group_name_Hall '-C 2c 2'
_cell_length_a 4.107
_cell_length_b 12.694
_cell_length_c 7.491
_cell_angle_alpha 90.00
_cell_angle_beta 90.00
_cell_angle_gamma 90.00
loop_
_atom_site_label
_atom_site_fract_x
_atom_site_fract_y
_atom_site_fract_z
Ac1 0.000 0.228 0.250
Tm1 0.000 0.500 0.000
As1 0.000 0.047 0.750
O1 0.000 0.333 0.555
```

***

No. 3
# AcMoP2

A geometry-optimized AcMoP2 structure (GGA-PBE, Alexandria via LeMat-Bulk).

Polymorph energy (0 for the lowest one), meV per atom: 261
Calculated total energy, eV per cell: -27.40
Fermi-level density of states, states/eV per cell: 2.57

The structure in CIF format:
```
data_AcMoP2
_symmetry_space_group_name_H-M 'P 4/m m m'
_symmetry_Int_Tables_number 123
_symmetry_space_group_name_Hall '-P 4 2'
_cell_length_a 3.284
_cell_length_b 3.284
_cell_length_c 7.045
_cell_angle_alpha 90.00
_cell_angle_beta 90.00
_cell_angle_gamma 90.00
loop_
_atom_site_label
_atom_site_fract_x
_atom_site_fract_y
_atom_site_fract_z
Ac1 0.000 0.000 0.000
Mo1 0.000 0.000 0.500
P1 0.500 0.500 0.311
```

***

No. 4
# Sm3Mg3Cd2

A geometry-optimized Sm3Mg3Cd2 structure (GGA-PBE, Alexandria via LeMat-Bulk).

Polymorph energy (0 for the lowest one), meV per atom: 0
Calculated total energy, eV per cell: -66.79
Fermi-level density of states, states/eV per cell: 19.83

The structure in CIF format:
```
data_Sm3Mg3Cd2
_symmetry_space_group_name_H-M 'R 3 m'
_symmetry_Int_Tables_number 160
_symmetry_space_group_name_Hall 'R 3 -2"'
_cell_length_a 5.2849
_cell_length_b 5.2849
_cell_length_c 26.4005
_cell_angle_alpha 90.00
_cell_angle_beta 90.00
_cell_angle_gamma 120.00
loop_
_atom_site_label
_atom_site_fract_x
_atom_site_fract_y
_atom_site_fract_z
Sm1 0.0000 0.0000 0.0000
Sm2 0.0000 0.0000 0.2456
Sm3 0.0000 0.0000 0.7523
Mg1 0.0000 0.0000 0.1252
Mg2 0.0000 0.0000 0.4982
Mg3 0.0000 0.0000 0.6219
Cd1 0.0000 0.0000 0.3762
Cd2 0.0000 0.0000 0.8738
```

***

No. 5
# LiPrCuSi

A geometry-optimized LiPrCuSi structure (GGA-PBE, Alexandria via LeMat-Bulk).

E_form (uncorrected), eV/f.u.: -1.1
Calculated total energy, eV per cell: -69.13
Fermi-level density of states, states/eV per cell: 6.56

The structure in CIF format:
```
data_LiPrCuSi
_symmetry_space_group_name_H-M 'F -4 3 m'
_symmetry_Int_Tables_number 216
_symmetry_space_group_name_Hall 'F -4 2 3'
_cell_length_a 6.546
_cell_length_b 6.546
_cell_length_c 6.546
_cell_angle_alpha 90.00
_cell_angle_beta 90.00
_cell_angle_gamma 90.00
loop_
_atom_site_label
_atom_site_fract_x
_atom_site_fract_y
_atom_site_fract_z
Li1 0.000 0.000 0.000
Pr1 0.250 0.250 0.250
Cu1 0.000 0.000 0.500
Si1 0.250 0.250 0.750
```

***

No. 6
# RbNa8Tl6

A geometry-optimized RbNa8Tl6 structure (GGA-PBE, Alexandria via LeMat-Bulk).

Calculated total energy, eV per cell: -26.45
Fermi-level density of states, states/eV per cell: 8.97

The structure in CIF format:
```
data_RbNa8Tl6
_symmetry_space_group_name_H-M 'P 6/m'
_symmetry_Int_Tables_number 175
_symmetry_space_group_name_Hall '-P 6'
_cell_length_a 10.7923
_cell_length_b 10.7923
_cell_length_c 5.0115
_cell_angle_alpha 90.00
_cell_angle_beta 90.00
_cell_angle_gamma 120.00
loop_
_atom_site_label
_atom_site_fract_x
_atom_site_fract_y
_atom_site_fract_z
Rb1 0.0000 0.0000 0.0000
Na1 0.0552 0.3586 0.5000
Na2 0.3333 0.6667 0.5000
Tl1 0.1510 0.6824 0.0000
```